(1)
VASP calculation (GGA-PBE) on crystalline TcOs2Cl at its relaxed geometry.

**Electronic total energy**: -0.572 Ry per atom
**Relative energy among the computed polymorphs**: 42.2 kJ per mole of atoms
**Magnetization**: 0.00 μB/cell
**Raw formation energy**: 0.881 eV/atom

Lattice parameters (Å, degrees): 5.2368 5.2368 5.2368 148.54 129.14 61.04
Last column: nearest neighbours and their distance in Å.
Fractional coordinates of all 4 atoms:
Cl 0.2500 0.7500 0.5000  4 Os 2.54, 4 Tc 2.66, 2 Cl 2.84
Os 0.0169 0.0169 0.0000  2 Cl 2.54, 6 Os 2.68-2.84, 2 Tc 2.80
Os 0.4831 0.4831 0.0000  2 Cl 2.54, 6 Os 2.68-2.84, 2 Tc 2.80
Tc 0.7500 0.2500 0.5000  4 Cl 2.66, 4 Os 2.80, 2 Tc 2.84

---

(2)
VASP calculation (GGA-PBE) on crystalline Pr2HoEr2 at its relaxed geometry.

**Electronic total energy**: -0.341 Ry per atom
**Relative energy among the computed polymorphs**: 0.0 kJ per mole of atoms
**Magnetization**: 0.00 μB/cell
**E_form**: 0.059 eV per formula unit

Lattice parameters (Å, degrees): 3.6104 3.6055 16.3580 63.96 83.66 59.96
Last column: nearest neighbours and their distance in Å.
Fractional coordinates of all 5 atoms:
Pr 0.2399 0.4125 0.1077  3 Er 3.58, 9 Pr 3.61-3.78
Pr 0.7601 0.5875 0.8923  3 Er 3.58, 9 Pr 3.61-3.78
Ho 0.5000 0.5000 0.5000  6 Er 3.49, 6 Ho 3.61
Er 0.2937 0.7201 0.6925  3 Ho 3.49, 3 Pr 3.58, 6 Er 3.61
Er 0.7063 0.2799 0.3075  3 Ho 3.49, 3 Pr 3.58, 6 Er 3.61

---

(3)
VASP calculation (GGA-PBE) on crystalline UCr2Ge2 at its relaxed geometry.

**Electronic total energy**: -0.586 Ry per atom
**Magnetization**: 0.75 μB/cell
**E_form**: -0.072 eV per formula unit

Lattice parameters (Å, degrees): 4.4628 4.4627 5.6580 120.76 120.74 72.75
Last column: nearest neighbours and their distance in Å.
Fractional coordinates of all 5 atoms:
U 0.5000 0.0000 0.5000  4 Cr 2.84, 8 Ge 3.12
Cr 0.8818 0.3821 0.2639  1 Cr 2.06
Cr 0.1182 0.6179 0.7361  1 Cr 2.06
Ge 0.7500 0.7501 0.0000  4 Cr 2.51, 2 Ge 2.65
Ge 0.2500 0.2499 0.0000  4 Cr 2.51, 2 Ge 2.65

---

(4)
VASP calculation (GGA-PBE) on crystalline IrBr2 at its relaxed geometry.

**Electronic total energy**: -0.260 Ry per atom
**Magnetization**: 2.17 μB/cell
**Raw formation energy**: 0.532 eV/atom

Lattice parameters (Å, degrees): 9.8796 9.8796 5.2109 90.00 90.00 120.00
Last column: nearest neighbours and their distance in Å.
Fractional coordinates of all 12 atoms:
Ir 0.3333 0.6667 0.0305  1 Ir 2.29, 3 Br 2.50
Ir 0.6667 0.3333 0.5305  1 Ir 2.29, 3 Br 2.50
Ir 0.6667 0.3333 0.9695  1 Ir 2.29, 3 Br 2.50
Ir 0.3333 0.6667 0.4695  1 Ir 2.29, 3 Br 2.50
Br 0.0000 0.0000 0.0000  2 Br 2.61
Br 0.0000 0.0000 0.5000  2 Br 2.61
Br 0.7854 0.5709 0.2500  2 Ir 2.50
Br 0.2146 0.4291 0.7500  2 Ir 2.50
Br 0.4291 0.2146 0.2500  2 Ir 2.50
Br 0.7854 0.2146 0.2500  2 Ir 2.50
Br 0.2146 0.7854 0.7500  2 Ir 2.50
Br 0.5709 0.7854 0.7500  2 Ir 2.50

---

(5)
VASP calculation (GGA-PBE) on crystalline ThMnZn17 at its relaxed geometry.

**Electronic total energy**: -0.152 Ry per atom
**Magnetization**: 4.07 μB/cell
**E_form**: -1.005 eV per formula unit

Lattice parameters (Å, degrees): 6.8115 6.8115 6.8115 82.18 82.18 82.18
Last column: nearest neighbours and their distance in Å.
Fractional coordinates of all 19 atoms:
Th 0.6591 0.6591 0.6591  19 Zn 3.19-3.43, 1 Mn 3.55
Mn 0.3923 0.3923 0.3923  12 Zn 2.81-3.12
Zn 0.2985 0.0106 0.6810  7 Zn 2.58-2.78
Zn 0.6810 0.2985 0.0106  7 Zn 2.58-2.78
Zn 0.0106 0.6810 0.2985  7 Zn 2.58-2.78
Zn 0.2985 0.6810 0.0106  7 Zn 2.58-2.78
Zn 0.0106 0.2985 0.6810  7 Zn 2.58-2.78
Zn 0.6810 0.0106 0.2985  7 Zn 2.58-2.78
Zn 0.3450 0.8400 0.3450  9 Zn 2.55-2.80
Zn 0.3450 0.3450 0.8400  9 Zn 2.55-2.80
Zn 0.8400 0.3450 0.3450  9 Zn 2.55-2.80
Zn 0.6492 0.1656 0.6492  8 Zn 2.55-2.78, 1 Mn 2.81
Zn 0.6492 0.6492 0.1656  8 Zn 2.55-2.78, 1 Mn 2.81
Zn 0.1656 0.6492 0.6492  8 Zn 2.55-2.78, 1 Mn 2.81
Zn 0.9864 0.4986 0.9864  10 Zn 2.60-2.75
Zn 0.9864 0.9864 0.4986  10 Zn 2.60-2.75
Zn 0.4986 0.9864 0.9864  10 Zn 2.60-2.75
Zn 0.9017 0.9017 0.9017  7 Zn 2.66-2.88
Zn 0.1013 0.1013 0.1013  7 Zn 2.66-2.80

---

(6)
VASP calculation (GGA-PBE) on crystalline IrPb2Se at its relaxed geometry.

**Electronic total energy**: -0.327 Ry per atom
**Magnetization**: 0.00 μB/cell
**Raw formation energy**: 0.492 eV/atom

Lattice parameters (Å, degrees): 5.2257 5.2257 5.2257 125.36 125.36 80.95
Last column: nearest neighbours and their distance in Å.
Fractional coordinates of all 4 atoms:
Ir 0.7500 0.2500 0.5000  8 Pb 3.12-3.39, 4 Se 3.12
Pb 0.0000 0.0000 0.0000  4 Ir 3.12, 4 Pb 3.12, 4 Se 3.39
Pb 0.2500 0.7500 0.5000  4 Se 3.12, 4 Pb 3.12, 4 Ir 3.39
Se 0.5000 0.5000 0.0000  8 Pb 3.12-3.39, 4 Ir 3.12

---

(7)
VASP calculation (GGA-PBE) on crystalline Fe8Ge2C at its relaxed geometry.

**Electronic total energy**: -0.570 Ry per atom
**Magnetization**: 16.94 μB/cell
**E_form**: 0.800 eV per formula unit

Lattice parameters (Å, degrees): 3.5421 3.5421 10.0090 90.00 90.00 90.00
Last column: nearest neighbours and their distance in Å.
Fractional coordinates of all 11 atoms:
Fe 0.0000 0.5000 0.5000  8 Fe 2.50-2.60, 4 Ge 2.58
Fe 0.5000 0.0000 0.5000  8 Fe 2.50-2.60, 4 Ge 2.58
Fe 0.5000 0.5000 0.3095  4 Ge 2.50, 8 Fe 2.60
Fe 0.5000 0.5000 0.6905  4 Ge 2.50, 8 Fe 2.60
Fe 0.0000 0.5000 0.1188  2 C 2.13, 1 Fe 2.38
Fe 0.5000 0.0000 0.1188  2 C 2.13, 1 Fe 2.38
Fe 0.0000 0.5000 0.8812  2 C 2.13, 1 Fe 2.38
Fe 0.5000 0.0000 0.8812  2 C 2.13, 1 Fe 2.38
Ge 0.0000 0.0000 0.3121  12 Fe 2.50-2.62
Ge 0.0000 0.0000 0.6879  12 Fe 2.50-2.62
C 0.0000 0.0000 0.0000  8 Fe 2.13

---

(8)
VASP calculation (GGA-PBE) on crystalline Na2SrBr2 at its relaxed geometry.

**Electronic total energy**: -0.193 Ry per atom
**Relative energy among the computed polymorphs**: 0.0 kJ per mole of atoms
**Magnetization**: 0.00 μB/cell
**Raw formation energy**: -1.086 eV/atom

Lattice parameters (Å, degrees): 8.2481 8.2481 5.9666 90.00 90.00 90.00
Last column: nearest neighbours and their distance in Å.
Fractional coordinates of all 10 atoms:
Sr 0.0000 0.0000 0.0000  4 Br 3.05
Sr 0.5000 0.5000 0.0000  4 Br 3.05
Br 0.3268 0.8268 0.0000  2 Na 3.05, 2 Sr 3.05
Br 0.8268 0.6732 0.0000  2 Na 3.05, 2 Sr 3.05
Br 0.6732 0.1732 0.0000  2 Na 3.05, 2 Sr 3.05
Br 0.1732 0.3268 0.0000  2 Na 3.05, 2 Sr 3.05
Na 0.2740 0.7740 0.5000  2 Br 3.05
Na 0.7740 0.7260 0.5000  2 Br 3.05
Na 0.7260 0.2260 0.5000  2 Br 3.05
Na 0.2260 0.2740 0.5000  2 Br 3.05

---

(9)
VASP calculation (GGA-PBE) on crystalline ZrCr2Se at its relaxed geometry.

**Electronic total energy**: -0.552 Ry per atom
**Magnetization**: 11.95 μB/cell
**Raw formation energy**: 0.311 eV/atom

Lattice parameters (Å, degrees): 7.3981 7.3981 5.8932 51.12 51.12 90.00
Last column: nearest neighbours and their distance in Å.
Fractional coordinates of all 8 atoms:
Cr 0.5702 0.1250 0.2500  2 Se 2.44
Cr 0.1798 0.6250 0.2500  2 Se 2.44
Cr 0.3750 0.4298 0.7500  2 Se 2.44
Cr 0.8750 0.8202 0.7500  2 Se 2.44
Se 0.5000 0.5000 0.0000  4 Cr 2.44, 2 Zr 2.71
Se 0.2500 0.7500 0.5000  4 Cr 2.44, 2 Zr 2.71
Zr 0.0000 0.0000 0.0000  2 Se 2.71, 4 Cr 2.99
Zr 0.7500 0.2500 0.5000  2 Se 2.71, 4 Cr 2.99

---

(10)
VASP calculation (GGA-PBE) on crystalline TiTlAu at its relaxed geometry.

**Electronic total energy**: -0.336 Ry per atom
**Magnetization**: 1.39 μB/cell
**E_form**: -0.184 eV per formula unit

Lattice parameters (Å, degrees): 6.6842 3.1685 6.0257 90.00 89.94 76.31
Last column: nearest neighbours and their distance in Å.
Fractional coordinates of all 6 atoms:
Tl 0.2225 0.7719 0.1075  4 Au 3.01-3.07, 4 Ti 3.14, 2 Tl 3.17
Tl 0.5288 0.1197 0.6082  4 Au 3.01-3.07, 4 Ti 3.14, 2 Tl 3.17
Au 0.6163 0.0754 0.1081  4 Ti 2.76, 4 Tl 3.01-3.07
Au 0.1351 0.8162 0.6075  4 Ti 2.76, 4 Tl 3.01-3.07
Ti 0.8757 0.4458 0.8578  4 Au 2.76, 2 Ti 3.01
Ti 0.8757 0.4458 0.3578  4 Au 2.76, 2 Ti 3.01

---

(11)
VASP calculation (GGA-PBE) on crystalline SnPRh at its relaxed geometry.

**Electronic total energy**: -0.437 Ry per atom
**Magnetization**: 0.00 μB/cell
**E_form**: -1.087 eV per formula unit

Lattice parameters (Å, degrees): 6.1034 6.1034 6.1034 90.00 90.00 90.00
Last column: nearest neighbours and their distance in Å.
Fractional coordinates of all 12 atoms:
Sn 0.3618 0.3618 0.3618  1 P 2.75, 3 Rh 2.78
Sn 0.1382 0.6382 0.8618  1 P 2.75, 3 Rh 2.78
Sn 0.8618 0.1382 0.6382  1 P 2.75, 3 Rh 2.78
Sn 0.6382 0.8618 0.1382  1 P 2.75, 3 Rh 2.78
P 0.6223 0.6223 0.6223  3 Rh 2.32
P 0.8777 0.3777 0.1223  3 Rh 2.32
P 0.1223 0.8777 0.3777  3 Rh 2.32
P 0.3777 0.1223 0.8777  3 Rh 2.32
Rh 0.0450 0.0450 0.0450  3 P 2.32
Rh 0.4550 0.9550 0.5450  3 P 2.32
Rh 0.5450 0.4550 0.9550  3 P 2.32
Rh 0.9550 0.5450 0.4550  3 P 2.32

---

(12)
VASP calculation (GGA-PBE) on crystalline Pa6P2PtSe3 at its relaxed geometry.

**Electronic total energy**: -0.604 Ry per atom
**Magnetization**: 0.00 μB/cell
**Raw formation energy**: -1.189 eV/atom

Lattice parameters (Å, degrees): 3.9059 8.3261 9.1339 103.57 102.35 90.00
Last column: nearest neighbours and their distance in Å.
Fractional coordinates of all 12 atoms:
Pa 0.3317 0.9008 0.6633  2 P 2.78, 1 Pt 2.92, 3 Se 2.93-2.94
Pa 0.6704 0.5752 0.3408  3 P 2.78, 3 Se 2.93-2.95
Pa 0.6683 0.0992 0.3367  2 P 2.78, 1 Pt 2.92, 3 Se 2.93-2.94
Pa 0.0078 0.2428 0.0156  2 Pt 2.79, 1 P 2.79, 3 Se 2.93-2.96
Pa 0.9922 0.7572 0.9844  2 Pt 2.79, 1 P 2.79, 3 Se 2.93-2.96
Pa 0.3296 0.4248 0.6592  3 P 2.78, 3 Se 2.93-2.95
P 0.8311 0.6634 0.6621  6 Pa 2.78-2.79
P 0.1689 0.3366 0.3379  6 Pa 2.78-2.79
Pt 0.5000 0.0000 0.0000  6 Pa 2.79-2.92
Se 0.5000 0.5000 0.0000  6 Pa 2.93-2.95
Se 0.8370 0.1665 0.6739  6 Pa 2.93-2.96
Se 0.1630 0.8335 0.3261  6 Pa 2.93-2.96

---

no.,volume (Å³/cell)
1,58
2,164
3,83
4,440
5,308
6,91
7,126
8,406
9,149
10,124
11,227
12,282